(1)
Computed, not measured: an optimized crystal structure of SrTlIr2 at the GGA-PBE level of DFT.

Calculated values
The energy relative to the elements is 0.4252 eV per atom. The value obtained for the energy above the lowest structure with this stoichiometry is 0.350 eV/atom.

Lattice parameters (Å, degrees): 6.3569 7.8769 3.2343 90.00 90.00 90.00
Last column: nearest neighbours and their distance in Å.
Space group Cmmm (No. 65)
Inequivalent atoms, fractional coordinates:
Sr 0.0000 0.0000 0.0000  8 Ir 3.00, 2 Tl 3.18, 2 Sr 3.23
Tl 0.0000 0.5000 0.0000  8 Ir 3.00, 2 Sr 3.18, 2 Tl 3.23
Ir 0.2500 0.2500 0.5000  4 Tl 3.00, 4 Sr 3.00, 4 Ir 3.18-3.23

***

(2)
Computed, not measured: an optimized crystal structure of Rb3Zr3Te8Au at the GGA-PBE level of DFT.

Calculated values
The calculation puts the uncorrected formation energy at -11.958 eV per formula unit.

Lattice parameters (Å, degrees): 14.2181 8.8124 9.6845 90.00 117.01 90.00
Last column: nearest neighbours and their distance in Å.
Space group C2/m (No. 12)
Inequivalent atoms, fractional coordinates:
Rb 0.0000 0.0000 0.0000  6 Te 3.61-3.67
Rb 0.2500 0.2500 0.0000  6 Te 3.60-3.69
Zr 0.0000 0.5000 0.5000  6 Te 2.91-2.96
Zr 0.2500 0.2500 0.5000  6 Te 2.88-2.99
Te 0.0264 0.2728 0.3022  2 Zr 2.88-2.91, 1 Au 3.20
Te 0.2127 0.0000 0.6771  1 Au 2.72, 2 Zr 2.98
Te 0.2319 0.5000 0.6954  3 Zr 2.96-2.99
Au 0.0000 0.0000 0.5000  2 Te 2.72

***

(3)
Computed, not measured: an optimized crystal structure of KNiS3 at the GGA-PBE level of DFT.

Calculated values
The calculation puts the uncorrected formation energy at -0.494 eV per formula unit. The value obtained for the energy above the lowest structure with this stoichiometry is 0.000 eV/atom.

Lattice parameters (Å, degrees): 4.5863 4.5863 4.5863 90.00 90.00 90.00
Last column: nearest neighbours and their distance in Å.
Space group Pm-3m (No. 221)
Inequivalent atoms, fractional coordinates:
K 0.0000 0.0000 0.0000  12 S 3.24
Ni 0.5000 0.5000 0.5000  6 S 2.29
S 0.0000 0.5000 0.5000  2 Ni 2.29